# 1
The following is a GGA-PBE calculation of a geometry-optimized Zr5Pb3S structure, from OQMD via LeMat-Bulk.

E   -7.065 eV per atom

```
data_Zr5Pb3S
_chemical_formula_sum 'Zr10 Pb6 S2'
_symmetry_space_group_name_H-M 'P 63/m c m'
_symmetry_Int_Tables_number 193
_symmetry_space_group_name_Hall '-P 6c 2'
_cell_length_a 8.6783
_cell_length_b 8.6783
_cell_length_c 6.0911
_cell_angle_alpha 90.00
_cell_angle_beta 90.00
_cell_angle_gamma 120.00
loop_
_atom_site_label
_atom_site_type_symbol
_atom_site_fract_x
_atom_site_fract_y
_atom_site_fract_z
_atom_site_occupancy
Zr1 Zr 0.0000 0.2476 0.2500 1
Zr2 Zr 0.3333 0.6667 0.0000 1
Pb1 Pb 0.0000 0.3991 0.7500 1
S1 S 0.0000 0.0000 0.0000 1
```



# 2
The following is a GGA-PBE calculation of a geometry-optimized ZrPbS3 structure, from OQMD via LeMat-Bulk.

E   -6.051 eV per atom

```
data_ZrPbS3
_chemical_formula_sum 'Zr4 Pb4 S12'
_symmetry_space_group_name_H-M 'P n m a'
_symmetry_Int_Tables_number 62
_symmetry_space_group_name_Hall '-P 2ac 2n'
_cell_length_a 9.201
_cell_length_b 3.813
_cell_length_c 14.036
_cell_angle_alpha 90.00
_cell_angle_beta 90.00
_cell_angle_gamma 90.00
loop_
_atom_site_label
_atom_site_type_symbol
_atom_site_fract_x
_atom_site_fract_y
_atom_site_fract_z
_atom_site_occupancy
Zr1 Zr 0.166 0.250 0.049 1
Pb1 Pb 0.022 0.250 0.672 1
S1 S 0.009 0.250 0.894 1
S2 S 0.169 0.250 0.489 1
S3 S 0.228 0.750 0.715 1
```



# 3
The following is a GGA-PBE calculation of a geometry-optimized SmSbPbSe3 structure, from OQMD via LeMat-Bulk.

E   -4.558 eV per atom

```
data_SmSbPbSe3
_chemical_formula_sum 'Sm4 Sb4 Pb4 Se12'
_symmetry_space_group_name_H-M 'C m c m'
_symmetry_Int_Tables_number 63
_symmetry_space_group_name_Hall '-C 2c 2'
_cell_length_a 4.447
_cell_length_b 15.297
_cell_length_c 9.973
_cell_angle_alpha 90.00
_cell_angle_beta 90.00
_cell_angle_gamma 90.00
loop_
_atom_site_label
_atom_site_type_symbol
_atom_site_fract_x
_atom_site_fract_y
_atom_site_fract_z
_atom_site_occupancy
Sm1 Sm 0.000 0.000 0.000 1
Sb1 Sb 0.000 0.469 0.250 1
Pb1 Pb 0.000 0.244 0.750 1
Se1 Se 0.000 0.134 0.250 1
Se2 Se 0.000 0.368 0.032 1
```